Entry 1:
DFT (PBE-GGA) results for an optimized crystal structure of Ca2PdRhN.

Results
spin magnetization	0.00	μB per formula unit
DFT total energy	-5.588	eV/atom
N(E_F)	0.682	states/eV/atom

abc: 5.0028 5.0028 3.7936
angles: 90.00 90.00 90.00
Closest atoms and distances in Å follow each position.
Atoms (fractional coordinates):
Ca 0.0000 0.5000 0.0000  2 N 2.50
Ca 0.5000 0.0000 0.0000  2 N 2.50
Pd 0.0000 0.0000 0.5000  8 Ca 3.14
Rh 0.5000 0.5000 0.5000  2 N 1.90
N 0.5000 0.5000 0.0000  2 Rh 1.90

---

Entry 2:
DFT (PBE-GGA) results for an optimized crystal structure of BePdPb2.

Results
E_form	412	meV/atom
spin magnetization	0.00	μB per formula unit
N(E_F)	0.511	states/eV/atom

abc: 9.2985 9.2985 9.2985
angles: 151.28 151.28 41.07
Closest atoms and distances in Å follow each position.
Atoms (fractional coordinates):
Be 0.0000 0.0000 0.0000  4 Pb 2.70
Be 0.7500 0.2500 0.5000  4 Pb 2.70
Pd 0.2500 0.7500 0.5000  4 Pb 2.74
Pd 0.5000 0.5000 0.0000  4 Pb 2.74
Pb 0.1154 0.6250 0.9904  2 Be 2.70, 2 Pd 2.74
Pb 0.3750 0.3654 0.4904  2 Be 2.70, 2 Pd 2.74
Pb 0.6346 0.1250 0.0096  2 Be 2.70, 2 Pd 2.74
Pb 0.8750 0.8846 0.5096  2 Be 2.70, 2 Pd 2.74

---

Entry 3:
DFT (PBE-GGA) results for an optimized crystal structure of RbPtAu2.

Results
E_form	-171	meV/atom
spin magnetization	0.00	μB per formula unit
N(E_F)	0.265	states/eV/atom

abc: 4.7298 8.2669 6.1644
angles: 90.00 90.00 90.00
Closest atoms and distances in Å follow each position.
Atoms (fractional coordinates):
Rb 0.2500 0.2500 0.0036  4 Au 3.38-3.39
Rb 0.7500 0.7500 0.9964  4 Au 3.38-3.39
Pt 0.2500 0.7500 0.4968  6 Au 2.74-2.75
Pt 0.7500 0.2500 0.5032  6 Au 2.74-2.75
Au 0.2500 0.0812 0.5029  3 Au 2.72-2.79, 3 Pt 2.74-2.75
Au 0.2500 0.4188 0.5029  3 Au 2.72-2.79, 3 Pt 2.74-2.75
Au 0.7500 0.5812 0.4971  3 Au 2.72-2.79, 3 Pt 2.74-2.75
Au 0.7500 0.9188 0.4971  3 Au 2.72-2.79, 3 Pt 2.74-2.75

---

Entry 4:
DFT (PBE-GGA) results for an optimized crystal structure of Ti2BiPb2.

Results
E_form	46	meV/atom
spin magnetization	0.00	μB per formula unit
N(E_F)	0.866	states/eV/atom

abc: 7.4517 7.4517 4.2695
angles: 90.00 90.00 90.00
Closest atoms and distances in Å follow each position.
Atoms (fractional coordinates):
Ti 0.1337 0.3663 0.0000  1 Ti 2.82, 2 Bi 2.91, 6 Pb 3.00-3.10
Ti 0.3663 0.8663 0.0000  1 Ti 2.82, 2 Bi 2.91, 6 Pb 3.00-3.10
Ti 0.6337 0.1337 0.0000  1 Ti 2.82, 2 Bi 2.91, 6 Pb 3.00-3.10
Ti 0.8663 0.6337 0.0000  1 Ti 2.82, 2 Bi 2.91, 6 Pb 3.00-3.10
Bi 0.0000 0.0000 0.0000  4 Ti 2.91
Bi 0.5000 0.5000 0.0000  4 Ti 2.91
Pb 0.1657 0.6657 0.5000  6 Ti 3.00-3.10
Pb 0.3343 0.1657 0.5000  6 Ti 3.00-3.10
Pb 0.6657 0.8343 0.5000  6 Ti 3.00-3.10
Pb 0.8343 0.3343 0.5000  6 Ti 3.00-3.10